PrNd5Sc2 | PBE-GGA | optimized geometry

- SG: I4/mcm, No. 140
- Formation energy: 0.14 eV per atom

Unit cell a=9.198 b=9.198 c=9.014 alpha=120.68 beta=120.68 gamma=90.00
Atoms (fractional coordinates):
Pr: 0.750 0.750 0.500
Pr: 0.250 0.250 0.500
Nd: 0.487 0.698 0.685
Nd: 0.802 0.013 0.315
Nd: 0.000 0.000 0.000
Nd: 0.500 0.500 0.000
Nd: 0.198 0.987 0.685
Nd: 0.698 0.198 0.685
Nd: 0.987 0.487 0.685
Nd: 0.302 0.802 0.315
Nd: 0.013 0.513 0.315
Nd: 0.513 0.302 0.315
Sc: 0.155 0.345 0.000
Sc: 0.655 0.155 0.000
Sc: 0.345 0.845 0.000
Sc: 0.845 0.655 0.000

***

AcU4S12 | PBE-GGA | optimized geometry

- SG: Im-3, No. 204
- E_form (uncorrected): -2075 kJ/mol of formula units

Unit cell a=8.483 b=8.483 c=8.483 alpha=109.47 beta=109.47 gamma=109.47
Atoms (fractional coordinates):
Ac: 0.000 0.000 0.000
U: 0.000 0.500 0.000
U: 0.500 0.000 0.000
U: 0.500 0.500 0.500
U: 0.000 0.000 0.500
S: 0.827 0.290 0.117
S: 0.290 0.463 0.173
S: 0.883 0.173 0.710
S: 0.290 0.117 0.827
S: 0.117 0.827 0.290
S: 0.710 0.537 0.827
S: 0.463 0.173 0.290
S: 0.537 0.827 0.710
S: 0.710 0.883 0.173
S: 0.827 0.710 0.537
S: 0.173 0.290 0.463
S: 0.173 0.710 0.883

***

Pm6Sb2As3Se | PBE-GGA | optimized geometry

- SG: C2/m, No. 12
- E_form (uncorrected): -1717 kJ/mol of formula units

Unit cell a=4.310 b=8.671 c=9.666 alpha=103.25 beta=102.88 gamma=90.00
Atoms (fractional coordinates):
Pm: 0.332 0.928 0.665
Pm: 0.663 0.592 0.325
Pm: 0.668 0.072 0.335
Pm: 0.996 0.255 0.992
Pm: 0.004 0.745 0.008
Pm: 0.337 0.408 0.675
Sb: 0.834 0.668 0.668
Sb: 0.166 0.332 0.332
As: 0.500 0.500 0.000
As: 0.833 0.165 0.667
As: 0.167 0.835 0.333
Se: 0.500 0.000 0.000

***

CuIr2Os | PBE-GGA | optimized geometry

- Polymorph energy (0 for the lowest one): 298 meV/atom
- SG: P4/mmm, No. 123
- Formation energy: 0.34 eV per atom

Unit cell a=3.775 b=3.864 c=3.864 alpha=90.00 beta=90.00 gamma=90.00
Atoms (fractional coordinates):
Cu: 0.500 0.000 0.500
Ir: 0.000 0.000 0.000
Ir: 0.000 0.500 0.500
Os: 0.500 0.500 0.000

***

PrCoGe2Ir | PBE-GGA | optimized geometry

- SG: I-4m2, No. 119
- Formation energy: -0.66 eV per atom

Unit cell a=4.110 b=4.110 c=6.038 alpha=109.90 beta=109.90 gamma=90.00
Atoms (fractional coordinates):
Pr: 0.000 0.000 0.000
Co: 0.750 0.250 0.500
Ge: 0.627 0.627 0.254
Ge: 0.373 0.373 0.746
Ir: 0.250 0.750 0.500

***

Mg3NbCo | PBE-GGA | optimized geometry

- Polymorph energy (0 for the lowest one): 1084 meV/atom
- SG: Pm-3m, No. 221
- Formation energy: 1.85 eV per atom

Unit cell a=5.261 b=5.261 c=5.261 alpha=90.00 beta=90.00 gamma=90.00
Atoms (fractional coordinates):
Nb: 0.000 0.000 0.000
Co: 0.500 0.500 0.500
Mg: 0.000 0.500 0.000
Mg: 0.000 0.000 0.500
Mg: 0.500 0.000 0.000

***

NdSm2Ho3As6 | PBE-GGA | optimized geometry

- SG: C2/m, No. 12
- Formation energy: -1.52 eV per atom

Unit cell a=4.170 b=8.333 c=9.316 alpha=102.86 beta=102.93 gamma=90.00
Atoms (fractional coordinates):
Nd: 0.500 0.000 0.000
Sm: 0.833 0.666 0.666
Sm: 0.167 0.334 0.334
Ho: 0.500 0.500 0.000
Ho: 0.833 0.167 0.667
Ho: 0.167 0.833 0.333
As: 0.331 0.920 0.662
As: 0.665 0.587 0.330
As: 0.669 0.080 0.338
As: 0.999 0.257 0.997
As: 0.001 0.743 0.003
As: 0.335 0.413 0.670

***

KPmAu2 | PBE-GGA | optimized geometry

- SG: R-3m, No. 166
- Formation energy: -0.44 eV per atom

Unit cell a=4.266 b=4.266 c=8.547 alpha=75.55 beta=75.55 gamma=60.00
Atoms (fractional coordinates):
K: 0.500 0.500 0.500
Au: 0.736 0.736 0.793
Au: 0.264 0.264 0.207
Pm: 0.000 0.000 0.000

***

Ba3Sb | PBE-GGA | optimized geometry

- Polymorph energy (0 for the lowest one): 319 meV/atom
- SG: Fm-3m, No. 225
- E_form (uncorrected): -110 kJ/mol of formula units

Unit cell a=6.244 b=6.244 c=6.244 alpha=60.00 beta=60.00 gamma=60.00
Atoms (fractional coordinates):
Ba: 0.000 0.000 0.000
Ba: 0.250 0.250 0.250
Ba: 0.500 0.500 0.500
Sb: 0.750 0.750 0.750

***

ZrHgAs2 | PBE-GGA | optimized geometry

- SG: I-42d, No. 122
- Formation energy: -0.19 eV per atom

Unit cell a=6.168 b=6.168 c=7.548 alpha=65.88 beta=65.88 gamma=90.00
Atoms (fractional coordinates):
As: 0.612 0.125 0.250
As: 0.138 0.625 0.250
As: 0.375 0.388 0.750
As: 0.875 0.862 0.750
Hg: 0.000 0.000 0.000
Hg: 0.750 0.250 0.500
Zr: 0.500 0.500 0.000
Zr: 0.250 0.750 0.500

***

CaMg4Tl2 | PBE-GGA | optimized geometry

- SG: P4_2/mnm, No. 136
- Formation energy: -0.14 eV per atom

Unit cell a=4.763 b=8.721 c=8.721 alpha=90.00 beta=90.00 gamma=90.00
Atoms (fractional coordinates):
Ca: 0.500 0.000 0.000
Ca: 0.000 0.500 0.500
Mg: 0.000 0.097 0.350
Mg: 0.000 0.903 0.650
Mg: 0.500 0.150 0.597
Mg: 0.500 0.850 0.403
Mg: 0.500 0.403 0.850
Mg: 0.500 0.597 0.150
Mg: 0.000 0.350 0.097
Mg: 0.000 0.650 0.903
Tl: 0.000 0.213 0.787
Tl: 0.000 0.787 0.213
Tl: 0.500 0.713 0.713
Tl: 0.500 0.287 0.287

***

ScMo | PBE-GGA | optimized geometry

- Polymorph energy (0 for the lowest one): 804 meV/atom
- SG: I4/m, No. 87
- Formation energy: 0.78 eV per atom

Unit cell a=11.354 b=11.354 c=3.124 alpha=90.00 beta=90.00 gamma=90.00
Atoms (fractional coordinates):
Sc: 0.536 0.688 0.000
Sc: 0.464 0.312 0.000
Sc: 0.312 0.536 0.000
Sc: 0.688 0.464 0.000
Sc: 0.036 0.188 0.500
Sc: 0.964 0.812 0.500
Sc: 0.812 0.036 0.500
Sc: 0.188 0.964 0.500
Mo: 0.268 0.171 0.000
Mo: 0.732 0.829 0.000
Mo: 0.829 0.268 0.000
Mo: 0.171 0.732 0.000
Mo: 0.768 0.671 0.500
Mo: 0.232 0.329 0.500
Mo: 0.329 0.768 0.500
Mo: 0.671 0.232 0.500

***

Be2AlFe | PBE-GGA | optimized geometry

- SG: P4/mmm, No. 123
- Formation energy: -0.13 eV per atom

Unit cell a=3.498 b=3.500 c=3.396 alpha=90.00 beta=90.00 gamma=90.00
Atoms (fractional coordinates):
Be: 0.000 0.000 0.000
Be: 0.500 0.500 0.000
Fe: 0.500 0.000 0.500
Al: 0.000 0.500 0.500

***

K6Hg3Au | PBE-GGA | optimized geometry

- SG: P2_1/m, No. 11
- Formation energy: -0.20 eV per atom

Unit cell a=4.799 b=12.798 c=15.675 alpha=112.48 beta=90.00 gamma=90.00
Atoms (fractional coordinates):
K: 0.750 0.491 0.624
K: 0.250 0.509 0.376
K: 0.750 0.844 0.109
K: 0.250 0.156 0.891
K: 0.750 0.421 0.096
K: 0.250 0.579 0.904
K: 0.750 0.754 0.332
K: 0.250 0.246 0.668
K: 0.750 0.081 0.416
K: 0.250 0.919 0.584
K: 0.750 0.852 0.787
K: 0.250 0.148 0.213
Hg: 0.750 0.342 0.844
Hg: 0.250 0.658 0.156
Hg: 0.750 0.701 0.535
Hg: 0.250 0.299 0.465
Hg: 0.750 0.082 0.029
Hg: 0.250 0.918 0.971
Au: 0.750 0.099 0.725
Au: 0.250 0.901 0.275

***

ScCdAs2Cl | PBE-GGA | optimized geometry

- SG: P4/mmm, No. 123
- E_form (uncorrected): 146 kJ/mol of formula units

Unit cell a=5.191 b=4.588 c=5.191 alpha=90.00 beta=90.00 gamma=90.00
Atoms (fractional coordinates):
Sc: 0.000 0.500 0.000
As: 0.000 0.000 0.500
As: 0.500 0.000 0.000
Cl: 0.000 0.000 0.000
Cd: 0.500 0.500 0.500

***

Pm4Si2Br | PBE-GGA | optimized geometry

- SG: I-42d, No. 122
- E_form (uncorrected): -534 kJ/mol of formula units

Unit cell a=7.811 b=7.811 c=7.811 alpha=110.07 beta=108.29 gamma=110.07
Atoms (fractional coordinates):
Pm: 0.137 0.893 0.393
Pm: 0.607 0.745 0.500
Pm: 0.995 0.607 0.750
Pm: 0.250 0.245 0.857
Pm: 0.613 0.755 0.005
Pm: 0.755 0.255 0.863
Pm: 0.500 0.107 0.245
Pm: 0.143 0.393 0.387
Si: 0.875 0.122 0.497
Si: 0.503 0.378 0.625
Si: 0.375 0.878 0.753
Si: 0.247 0.622 0.125
Br: 0.000 0.000 0.000
Br: 0.750 0.500 0.250

***

Ba5Au2Cl | PBE-GGA | optimized geometry

- SG: P2_1/c, No. 14
- E_form (uncorrected): -617 kJ/mol of formula units

Unit cell a=7.964 b=12.434 c=16.001 alpha=108.54 beta=90.00 gamma=90.00
Atoms (fractional coordinates):
Ba: 0.300 0.090 0.711
Ba: 0.821 0.114 0.583
Ba: 0.200 0.090 0.211
Ba: 0.759 0.309 0.863
Ba: 0.259 0.291 0.521
Ba: 0.679 0.114 0.083
Ba: 0.290 0.504 0.835
Ba: 0.741 0.309 0.363
Ba: 0.241 0.291 0.021
Ba: 0.790 0.496 0.665
Ba: 0.210 0.504 0.335
Ba: 0.759 0.709 0.979
Ba: 0.259 0.691 0.637
Ba: 0.710 0.496 0.165
Ba: 0.321 0.886 0.917
Ba: 0.741 0.709 0.479
Ba: 0.241 0.691 0.137
Ba: 0.800 0.910 0.789
Ba: 0.179 0.886 0.417
Ba: 0.700 0.910 0.289
Au: 0.514 0.110 0.892
Au: 0.986 0.110 0.392
Au: 0.054 0.311 0.708
Au: 0.446 0.311 0.208
Au: 0.554 0.689 0.792
Au: 0.946 0.689 0.292
Au: 0.014 0.890 0.608
Au: 0.486 0.890 0.108
Cl: 0.500 0.000 0.500
Cl: 0.000 0.000 0.000
Cl: 0.500 0.500 0.500
Cl: 0.000 0.500 0.000

***

PaZn4Cu8 | PBE-GGA | optimized geometry

- SG: I4/mmm, No. 139
- Formation energy: -0.03 eV per atom

Unit cell a=4.902 b=6.587 c=6.587 alpha=82.04 beta=68.15 gamma=68.15
Atoms (fractional coordinates):
Pa: 0.000 0.000 0.000
Zn: 0.000 0.000 0.500
Zn: 0.500 0.000 0.500
Zn: 0.000 0.500 0.000
Zn: 0.500 0.500 0.000
Cu: 0.000 0.354 0.646
Cu: 0.000 0.646 0.354
Cu: 0.354 0.646 0.646
Cu: 0.646 0.354 0.354
Cu: 0.500 0.784 0.216
Cu: 0.500 0.216 0.784
Cu: 0.284 0.216 0.216
Cu: 0.716 0.784 0.784

***

Al3As | PBE-GGA | optimized geometry

- Polymorph energy (0 for the lowest one): 93 meV/atom
- SG: I4/mmm, No. 139
- Formation energy: 0.09 eV per atom

Unit cell a=9.054 b=9.054 c=9.054 alpha=154.24 beta=154.24 gamma=36.75
Atoms (fractional coordinates):
Al: 0.000 0.500 0.500
Al: 0.500 0.000 0.500
Al: 0.750 0.250 0.500
Al: 0.250 0.750 0.500
Al: 0.870 0.870 0.000
Al: 0.130 0.130 0.000
As: 0.615 0.615 0.000
As: 0.385 0.385 0.000

***

Ca2PPb | PBE-GGA | optimized geometry

- Polymorph energy (0 for the lowest one): 614 meV/atom
- SG: F-43m, No. 216
- Formation energy: -0.07 eV per atom

Unit cell a=5.334 b=5.334 c=5.334 alpha=60.00 beta=60.00 gamma=60.00
Atoms (fractional coordinates):
Ca: 0.000 0.000 0.000
Ca: 0.250 0.250 0.250
P: 0.500 0.500 0.500
Pb: 0.750 0.750 0.750

***

ZrTa2B | PBE-GGA | optimized geometry

- SG: Cmcm, No. 63
- Formation energy: -0.28 eV per atom

Unit cell a=3.470 b=5.208 c=7.614 alpha=90.00 beta=90.00 gamma=109.46
Atoms (fractional coordinates):
Zr: 0.937 0.874 0.250
Zr: 0.063 0.126 0.750
Ta: 0.354 0.709 0.554
Ta: 0.646 0.291 0.446
Ta: 0.354 0.709 0.946
Ta: 0.646 0.291 0.054
B: 0.773 0.546 0.750
B: 0.227 0.454 0.250

***

SeBr6N2 | PBE-GGA | optimized geometry

- SG: Fm-3m, No. 225
- E_form (uncorrected): 1106 kJ/mol of formula units

Unit cell a=7.267 b=7.267 c=7.267 alpha=60.00 beta=60.00 gamma=60.00
Atoms (fractional coordinates):
Se: 0.000 0.000 0.000
Br: 0.250 0.750 0.750
Br: 0.250 0.250 0.750
Br: 0.250 0.750 0.250
Br: 0.750 0.250 0.250
Br: 0.750 0.750 0.250
Br: 0.750 0.250 0.750
N: 0.750 0.750 0.750
N: 0.250 0.250 0.250